Model a:
{"formula": "CaTaCr2", "functional": "PBE", "state": "relaxed", "crystal_system": "cubic", "spacegroup": "Fm-3m (225)", "cell": [[0.000, 3.296, 3.296], [3.296, 0.000, 3.296], [3.296, 3.296, 0.000]], "species": ["Ca", "Ta", "Cr", "Cr"], "frac_coords": [[0.000, 0.000, 0.000], [0.500, 0.500, 0.500], [0.250, 0.250, 0.250], [0.750, 0.750, 0.750]]}

***

Model b:
{"formula": "CaTaCr2", "functional": "PBE", "state": "relaxed", "crystal_system": "monoclinic", "spacegroup": "C2/m (12)", "cell": [[3.023, -4.387, 0.000], [3.023, 4.387, 0.000], [-0.849, 0.000, 2.561]], "species": ["Ca", "Ta", "Cr", "Cr"], "frac_coords": [[0.000, 0.000, 0.000], [0.500, 0.500, 0.000], [0.000, 0.500, 0.500], [0.500, 0.000, 0.500]]}

***

Stability, highest: model a

***

Model a:
{"formula": "CaTaCr2", "functional": "PBE", "state": "relaxed", "crystal_system": "orthorhombic", "spacegroup": "Pmmm (47)", "cell": [[3.414, 0.000, 0.000], [0.000, 4.332, 0.000], [0.000, 0.000, 4.933]], "species": ["Ca", "Ta", "Cr", "Cr"], "frac_coords": [[0.000, 0.000, 0.000], [0.500, 0.000, 0.500], [0.000, 0.500, 0.500], [0.500, 0.500, 0.000]]}

***

Model b:
{"formula": "CaTaCr2", "functional": "PBE", "state": "relaxed", "crystal_system": "monoclinic", "spacegroup": "C2/m (12)", "cell": [[4.607, -1.511, 0.000], [4.607, 1.511, 0.000], [-0.568, 0.000, 5.954]], "species": ["Ca", "Ta", "Cr", "Cr"], "frac_coords": [[0.000, 0.000, 0.000], [0.500, 0.500, 0.500], [0.243, 0.243, 0.630], [0.757, 0.757, 0.370]]}

***

Stability, highest: model b

***

Model a:
{"formula": "CaTaCr2", "functional": "PBE", "state": "relaxed", "crystal_system": "tetragonal", "spacegroup": "P4/mmm (123)", "cell": [[2.682, 0.000, 0.000], [0.000, 2.682, 0.000], [0.000, 0.000, 9.493]], "species": ["Ca", "Ta", "Cr", "Cr"], "frac_coords": [[0.000, 0.000, 0.000], [0.000, 0.000, 0.500], [0.500, 0.500, 0.272], [0.500, 0.500, 0.728]]}

***

Model b:
{"formula": "CaTaCr2", "functional": "PBE", "state": "relaxed", "crystal_system": "orthorhombic", "spacegroup": "Imm2 (44)", "cell": [[-1.526, 2.328, 4.886], [1.526, -2.328, 4.886], [1.526, 2.328, -4.886]], "species": ["Ca", "Ta", "Cr", "Cr"], "frac_coords": [[0.000, 0.000, 0.000], [0.281, 0.781, 0.500], [0.572, 0.572, 0.000], [0.736, 0.236, 0.500]]}

***

Model c:
{"formula": "CaTaCr2", "functional": "PBE", "state": "relaxed", "crystal_system": "monoclinic", "spacegroup": "P2/m (10)", "cell": [[2.921, 0.000, 0.000], [0.000, 4.231, 0.000], [-0.744, 0.000, 6.314]], "species": ["Ca", "Ta", "Cr", "Cr"], "frac_coords": [[0.000, 0.000, 0.000], [0.500, 0.000, 0.500], [0.137, 0.500, 0.653], [0.863, 0.500, 0.347]]}

***

Stability, highest: model c

***

Model a:
{"formula": "Ca2TaCr2", "functional": "PBE", "state": "relaxed", "crystal_system": "tetragonal", "spacegroup": "P4/mbm (127)", "cell": [[8.261, 0.000, 0.000], [0.000, 8.261, 0.000], [0.000, 0.000, 3.190]], "species": ["Ca", "Ca", "Ca", "Ca", "Ta", "Ta", "Cr", "Cr", "Cr", "Cr"], "frac_coords": [[0.208, 0.292, 0.000], [0.292, 0.792, 0.000], [0.708, 0.208, 0.000], [0.792, 0.708, 0.000], [0.000, 0.000, 0.500], [0.500, 0.500, 0.500], [0.077, 0.577, 0.500], [0.423, 0.077, 0.500], [0.577, 0.923, 0.500], [0.923, 0.423, 0.500]]}

***

Model b:
{"formula": "Ca2TaCr2", "functional": "PBE", "state": "relaxed", "crystal_system": "tetragonal", "spacegroup": "I4/mmm (139)", "cell": [[-1.973, 1.973, 6.439], [1.973, -1.973, 6.439], [1.973, 1.973, -6.439]], "species": ["Ca", "Ca", "Ta", "Cr", "Cr"], "frac_coords": [[0.250, 0.750, 0.500], [0.750, 0.250, 0.500], [0.000, 0.000, 0.000], [0.428, 0.428, 0.000], [0.572, 0.572, 0.000]]}

***

Stability, highest: model b

***

Model a:
{"formula": "Ca3CrTc", "functional": "PBE", "state": "relaxed", "crystal_system": "cubic", "spacegroup": "Pm-3m (221)", "cell": [[5.470, 0.000, 0.000], [0.000, 5.470, 0.000], [0.000, 0.000, 5.470]], "species": ["Ca", "Ca", "Ca", "Cr", "Tc"], "frac_coords": [[0.000, 0.000, 0.500], [0.000, 0.500, 0.000], [0.500, 0.000, 0.000], [0.000, 0.000, 0.000], [0.500, 0.500, 0.500]]}

***

Model b:
{"formula": "Ca3CrTc", "functional": "PBE", "state": "relaxed", "crystal_system": "cubic", "spacegroup": "Pm-3m (221)", "cell": [[5.450, 0.000, 0.000], [0.000, 5.450, 0.000], [0.000, 0.000, 5.450]], "species": ["Ca", "Ca", "Ca", "Cr", "Tc"], "frac_coords": [[0.000, 0.000, 0.500], [0.000, 0.500, 0.000], [0.500, 0.000, 0.000], [0.500, 0.500, 0.500], [0.000, 0.000, 0.000]]}

***

Stability, highest: model b

***

Model a:
{"formula": "CaCrTc3", "functional": "PBE", "state": "relaxed", "crystal_system": "cubic", "spacegroup": "Pm-3m (221)", "cell": [[4.482, 0.000, 0.000], [0.000, 4.482, 0.000], [0.000, 0.000, 4.482]], "species": ["Ca", "Cr", "Tc", "Tc", "Tc"], "frac_coords": [[0.000, 0.000, 0.000], [0.500, 0.500, 0.500], [0.000, 0.000, 0.500], [0.000, 0.500, 0.000], [0.500, 0.000, 0.000]]}

***

Model b:
{"formula": "CaCrTc3", "functional": "PBE", "state": "relaxed", "crystal_system": "cubic", "spacegroup": "Pm-3m (221)", "cell": [[4.547, 0.000, 0.000], [0.000, 4.547, 0.000], [0.000, 0.000, 4.547]], "species": ["Ca", "Cr", "Tc", "Tc", "Tc"], "frac_coords": [[0.000, 0.000, 0.000], [0.500, 0.500, 0.500], [0.000, 0.500, 0.500], [0.500, 0.000, 0.500], [0.500, 0.500, 0.000]]}

***

Stability, highest: model b

***

Model a:
{"formula": "CaCrTe2", "functional": "PBE", "state": "relaxed", "crystal_system": "orthorhombic", "spacegroup": "Immm (71)", "cell": [[-2.141, 3.255, 4.096], [2.141, -3.255, 4.096], [2.141, 3.255, -4.096]], "species": ["Ca", "Cr", "Te", "Te"], "frac_coords": [[0.000, 0.000, 0.000], [0.500, 0.500, 0.000], [0.290, 0.790, 0.500], [0.710, 0.210, 0.500]]}

***

Model b:
{"formula": "CaCrTe2", "functional": "PBE", "state": "relaxed", "crystal_system": "orthorhombic", "spacegroup": "Imm2 (44)", "cell": [[-1.956, 2.016, 7.063], [1.956, -2.016, 7.063], [1.956, 2.016, -7.063]], "species": ["Ca", "Cr", "Te", "Te"], "frac_coords": [[0.000, 0.000, 0.000], [0.249, 0.749, 0.500], [0.402, 0.402, 0.000], [0.678, 0.178, 0.500]]}

***

Model c:
{"formula": "CaCrTe2", "functional": "PBE", "state": "relaxed", "crystal_system": "trigonal", "spacegroup": "P-3m1 (164)", "cell": [[4.239, 0.000, 0.000], [-2.120, 3.671, 0.000], [0.000, 0.000, 7.098]], "species": ["Ca", "Cr", "Te", "Te"], "frac_coords": [[0.000, 0.000, 0.000], [0.000, 0.000, 0.500], [0.333, 0.667, 0.286], [0.667, 0.333, 0.714]]}

***

Stability, highest: model c

***

Model a:
{"formula": "CaCrTe2", "functional": "PBE", "state": "relaxed", "crystal_system": "tetragonal", "spacegroup": "I-42d (122)", "cell": [[-3.358, 3.358, 6.576], [3.358, -3.358, 6.576], [3.358, 3.358, -6.576]], "species": ["Ca", "Ca", "Cr", "Cr", "Te", "Te", "Te", "Te"], "frac_coords": [[0.000, 0.000, 0.000], [0.750, 0.250, 0.500], [0.250, 0.750, 0.500], [0.500, 0.500, 0.000], [0.174, 0.625, 0.049], [0.375, 0.424, 0.549], [0.576, 0.125, 0.951], [0.875, 0.826, 0.451]]}

***

Model b:
{"formula": "CaCrTe2", "functional": "PBE", "state": "relaxed", "crystal_system": "cubic", "spacegroup": "Fm-3m (225)", "cell": [[0.000, 3.557, 3.557], [3.557, 0.000, 3.557], [3.557, 3.557, 0.000]], "species": ["Ca", "Cr", "Te", "Te"], "frac_coords": [[0.000, 0.000, 0.000], [0.500, 0.500, 0.500], [0.250, 0.250, 0.250], [0.750, 0.750, 0.750]]}

***

Model c:
{"formula": "CaCrTe2", "functional": "PBE", "state": "relaxed", "crystal_system": "cubic", "spacegroup": "F-43m (216)", "cell": [[0.000, 3.777, 3.777], [3.777, 0.000, 3.777], [3.777, 3.777, 0.000]], "species": ["Ca", "Cr", "Te", "Te"], "frac_coords": [[0.000, 0.000, 0.000], [0.750, 0.750, 0.750], [0.250, 0.250, 0.250], [0.500, 0.500, 0.500]]}

***

Stability, highest: model a